[1]
Ac3InF: optimized geometry, PBE.

Cell: 5.4326 5.4326 5.4326 Å, 90.00 90.00 90.00°
Element x y z (fractional)
Ac (0.0000, 0.0000, 0.5000)
Ac (0.0000, 0.5000, 0.0000)
Ac (0.5000, 0.0000, 0.0000)
In (0.5000, 0.5000, 0.5000)
F (0.0000, 0.0000, 0.0000)

ΔE_f (raw): -1.027 eV/atom
symmetry: Pm-3m, No. 221
ρ: 8.4 Mg/m³
crystal system: cubic
size of the total moment: 0.000 μB per atom
Fermi-level density of states: 0.798 states/eV/atom

[2]
K2AcInF8: optimized geometry, PBE.

Cell: 4.2183 7.9066 6.2076 Å, 90.00 94.12 90.00°
Element x y z (fractional)
K (0.0000, 0.2320, 0.0000)
K (0.0000, 0.7680, 0.0000)
Ac (0.5000, 0.5000, 0.5000)
In (0.5000, 0.0000, 0.5000)
F (0.0063, 0.5000, 0.7259)
F (0.0733, 0.0000, 0.3045)
F (0.4525, 0.2248, 0.7079)
F (0.4525, 0.7752, 0.7079)
F (0.5475, 0.2248, 0.2921)
F (0.5475, 0.7752, 0.2921)
F (0.9267, 0.0000, 0.6955)
F (0.9937, 0.5000, 0.2741)

ΔE_f (raw): -3.170 eV/atom
symmetry: P2/m, No. 10
ρ: 4.6 Mg/m³
crystal system: monoclinic
size of the total moment: 0.010 μB per atom
Fermi-level density of states: 0.000 states/eV/atom

[3]
Li2AcInF8: optimized geometry, PBE.

Cell: 4.8712 4.8712 7.7578 Å, 91.38 91.38 75.81°
Element x y z (fractional)
Li (0.1049, 0.1049, 0.2755)
Li (0.8951, 0.8951, 0.7245)
Ac (0.5000, 0.5000, 0.0000)
In (0.5000, 0.5000, 0.5000)
F (0.1928, 0.1928, 0.0470)
F (0.2346, 0.2346, 0.4824)
F (0.2810, 0.7182, 0.7227)
F (0.2818, 0.7190, 0.2773)
F (0.7182, 0.2810, 0.7227)
F (0.7190, 0.2818, 0.2773)
F (0.7654, 0.7654, 0.5176)
F (0.8072, 0.8072, 0.9530)

ΔE_f (raw): -3.159 eV/atom
symmetry: C2/m, No. 12
ρ: 4.7 Mg/m³
crystal system: monoclinic
size of the total moment: 0.004 μB per atom
Fermi-level density of states: 0.000 states/eV/atom

[4]
Na2AcInF8: optimized geometry, PBE.

Cell: 4.1033 7.8004 5.5936 Å, 90.00 92.29 90.00°
Element x y z (fractional)
Na (0.0000, 0.2253, 0.0000)
Na (0.0000, 0.7747, 0.0000)
Ac (0.5000, 0.5000, 0.5000)
In (0.5000, 0.0000, 0.5000)
F (0.0014, 0.5000, 0.7522)
F (0.0598, 0.0000, 0.2801)
F (0.4532, 0.2239, 0.7328)
F (0.4532, 0.7761, 0.7328)
F (0.5468, 0.2239, 0.2672)
F (0.5468, 0.7761, 0.2672)
F (0.9402, 0.0000, 0.7199)
F (0.9986, 0.5000, 0.2478)

ΔE_f (raw): -3.141 eV/atom
symmetry: P2/m, No. 10
ρ: 5.0 Mg/m³
crystal system: monoclinic
size of the total moment: 0.007 μB per atom
Fermi-level density of states: 0.000 states/eV/atom